# 1
Entry from the Alexandria database: a geometry-optimized TbEuCuPd structure (PBE-GGA).

POSCAR file:
```
TbEuCuPd
1.0
7.122 0.000 0.000
0.000 7.122 0.000
0.000 0.000 7.122
Tb Eu Cu Pd
4 4 4 4
Cartesian
0.000 0.000 0.000
0.000 3.561 3.561
3.561 0.000 3.561
3.561 3.561 0.000
0.000 0.000 3.561
0.000 3.561 0.000
3.561 0.000 0.000
3.561 3.561 3.561
1.780 1.780 5.341
1.780 5.341 1.780
5.341 1.780 1.780
5.341 5.341 5.341
1.780 1.780 1.780
1.780 5.341 5.341
5.341 1.780 5.341
5.341 5.341 1.780
```

total moment	28.2	μB/cell
symmetry	F-43m
formation energy from the elements	-9.87	kcal/mol of atoms



# 2
Entry from the Alexandria database: a geometry-optimized K3Sm2ErSe6 structure (PBE-GGA).

POSCAR file:
```
K3Sm2ErSe6
1.0
3.689 -6.389 0.000
3.689 6.389 0.000
-2.460 0.000 7.693
K Sm Er Se
3 2 1 6
Cartesian
0.000 0.000 0.000
3.689 2.145 0.000
3.689 -2.145 0.000
2.458 4.261 3.847
2.458 -4.261 3.847
2.458 0.000 3.847
1.255 2.086 2.255
0.051 0.000 5.439
1.255 -2.086 2.255
3.662 2.086 5.438
4.866 0.000 2.254
3.662 -2.086 5.438
```

total moment	0.0	μB/cell
symmetry	C2/m
formation energy from raw total energies	-1758	meV per atom



Repeat the first record exactly.
Entry from the Alexandria database: a geometry-optimized TbEuCuPd structure (PBE-GGA).

POSCAR file:
```
TbEuCuPd
1.0
7.122 0.000 0.000
0.000 7.122 0.000
0.000 0.000 7.122
Tb Eu Cu Pd
4 4 4 4
Cartesian
0.000 0.000 0.000
0.000 3.561 3.561
3.561 0.000 3.561
3.561 3.561 0.000
0.000 0.000 3.561
0.000 3.561 0.000
3.561 0.000 0.000
3.561 3.561 3.561
1.780 1.780 5.341
1.780 5.341 1.780
5.341 1.780 1.780
5.341 5.341 5.341
1.780 1.780 1.780
1.780 5.341 5.341
5.341 1.780 5.341
5.341 5.341 1.780
```

total moment	28.2	μB/cell
symmetry	F-43m
formation energy from the elements	-9.87	kcal/mol of atoms